Below is Pu2HgP after structural relaxation, with properties calculated at the PBE-GGA level.

The calculation puts the total magnetic moment at 35.8 μB/cell. The value obtained for the density of states at the Fermi level is 58.715 states/eV per cell. The calculation puts the energy relative to the lowest polymorph listed for this composition at 85 meV/atom. The formation energy comes out at -48.7 kJ per mole of atoms.

Unit cell a=3.8329 b=3.8329 c=24.9272 alpha=90.00 beta=90.00 gamma=120.00
Space group R-3m (No. 166, hexagonal axes)
One atom of each set of equivalent atoms:
Pu  0.0000  0.0000  0.2346 x6
Hg  0.0000  0.0000  0.0000 x3
P  0.0000  0.0000  0.5000 x3